No. 1
Al2CoCl (PBE, relaxed); Fermi-level density of states = 2.092 states/eV per cell; energy above the most stable polymorph in this dataset = 0.465 eV/atom; magnetization = 0.0 μB/f.u.; E_form (uncorrected) = 0.06 eV per formula unit; final energy = -16.38 eV per cell
1.0
-2.296 2.762 -6.199
-2.229 -2.532 3.217
-1.832 2.058 0.354
Al Co Cl
2 1 1
direct
0.000 0.000 0.000
0.500 0.000 0.500
0.500 0.500 0.000
0.000 0.500 0.500

***

No. 2
AlCo2Cl (PBE, relaxed); Fermi-level density of states = 3.006 states/eV per cell; energy above the most stable polymorph in this dataset = 0.140 eV/atom; magnetization = 3.2 μB/f.u.; E_form (uncorrected) = 0.20 eV per formula unit; final energy = -19.60 eV per cell
1.0
-1.529 -2.176 -1.203
0.944 -1.814 2.082
-5.646 1.722 4.059
Cl Al Co
1 1 2
direct
0.500 0.500 0.819
0.000 0.000 0.412
0.500 0.500 0.239
0.000 0.000 0.030

***

No. 3
AlCo2Cl (PBE, relaxed); Fermi-level density of states = 3.033 states/eV per cell; energy above the most stable polymorph in this dataset = 0.304 eV/atom; magnetization = 2.1 μB/f.u.; E_form (uncorrected) = 0.85 eV per formula unit; final energy = -18.95 eV per cell
1.0
-3.430 -1.234 -2.269
0.717 -2.796 0.437
-2.375 -0.045 3.616
Al Cl Co
1 1 2
direct
0.000 0.375 0.489
0.500 0.875 0.800
0.500 0.375 0.191
0.000 0.875 0.020

***

No. 4
AlCo2Cl (PBE, relaxed); Fermi-level density of states = 5.051 states/eV per cell; energy above the most stable polymorph in this dataset = 0.516 eV/atom; magnetization = 2.1 μB/f.u.; E_form (uncorrected) = 1.70 eV per formula unit; final energy = -18.10 eV per cell
1.0
5.078 0.036 0.000
2.664 4.323 0.000
-3.871 -2.179 2.460
Co Cl Al
2 1 1
direct
0.250 0.750 0.500
0.000 0.000 0.000
0.750 0.250 0.500
0.500 0.500 0.000

***

No. 5
Cs2AlCoCl6 (PBE, relaxed); Fermi-level density of states = 3.385 states/eV per cell; magnetization = 2.0 μB/f.u.; E_form (uncorrected) = -13.34 eV per formula unit; final energy = -36.98 eV per cell
1.0
-3.626 -3.953 -4.678
5.530 -4.450 -0.526
-0.901 -6.950 1.157
Cl Cs Al Co
6 2 1 1
direct
0.740 0.740 0.520
0.263 0.263 0.000
0.737 0.263 0.000
0.260 0.260 0.480
0.263 0.737 0.000
0.737 0.737 0.000
0.250 0.750 0.500
0.750 0.250 0.500
0.500 0.500 0.000
0.000 0.000 0.000

***

No. 6
CsAl2CoCl8 (PBE, relaxed); magnetization = 2.0 μB/f.u.; E_form (uncorrected) = -16.41 eV per formula unit; final energy = -46.63 eV per cell
1.0
6.364 0.000 0.000
3.182 5.512 0.000
3.182 1.837 9.741
Cl Al Co Cs
8 2 1 1
direct
0.260 0.967 0.152
0.380 0.740 0.848
0.813 0.813 0.562
0.740 0.033 0.848
0.620 0.260 0.152
0.033 0.380 0.848
0.187 0.187 0.438
0.967 0.620 0.152
0.262 0.262 0.215
0.738 0.738 0.785
0.000 0.000 0.000
0.500 0.500 0.500

***

No. 7
CsAlCoCl6 (PBE, relaxed); Fermi-level density of states = 1.051 states/eV per cell; magnetization = 3.0 μB/f.u.; E_form (uncorrected) = -11.82 eV per formula unit; final energy = -34.60 eV per cell
1.0
-2.362 5.783 0.680
-1.437 2.164 5.733
7.303 2.873 0.686
Cl Al Co Cs
6 1 1 1
direct
0.012 0.616 0.674
0.622 0.012 0.328
0.012 0.373 0.326
0.622 0.366 0.672
0.368 0.620 0.329
0.368 0.012 0.671
0.333 0.333 0.500
0.664 0.668 0.500
0.000 0.000 0.000

***

No. 8
CsAl2CoCl (PBE, relaxed); Fermi-level density of states = 1.936 states/eV per cell; magnetization = 0.8 μB/f.u.; E_form (uncorrected) = -0.90 eV per formula unit; final energy = -18.19 eV per cell
1.0
-2.499 -1.444 -3.632
4.832 -4.128 -1.683
-1.911 -3.309 2.631
Co Al Cs Cl
1 2 1 1
direct
0.000 0.000 0.000
0.000 0.000 0.500
0.500 0.000 0.000
0.500 0.500 0.500
0.000 0.500 0.000

***

No. 9
HfAl2CoCl (PBE, relaxed); Fermi-level density of states = 3.702 states/eV per cell; magnetization = 0.0 μB/f.u.; E_form (uncorrected) = 2.30 eV per formula unit; final energy = -24.09 eV per cell
1.0
4.491 0.000 0.000
0.000 4.660 0.000
0.000 0.000 4.491
Al Co Cl Hf
2 1 1 1
direct
0.500 0.000 0.000
0.000 0.000 0.500
0.000 0.000 0.000
0.000 0.500 0.000
0.500 0.500 0.500

***

No. 10
AlCoIrCl2 (PBE, relaxed); Fermi-level density of states = 5.218 states/eV per cell; magnetization = 2.4 μB/f.u.; E_form (uncorrected) = 3.43 eV per formula unit; final energy = -19.97 eV per cell
1.0
4.789 0.000 0.000
0.000 4.827 0.000
0.000 0.000 4.789
Cl Ir Al Co
2 1 1 1
direct
0.500 0.000 0.000
0.000 0.000 0.500
0.000 0.000 0.000
0.500 0.500 0.500
0.000 0.500 0.000

***

No. 11
KAlCoCl6 (PBE, relaxed); Fermi-level density of states = 1.077 states/eV per cell; magnetization = 3.0 μB/f.u.; E_form (uncorrected) = -11.69 eV per formula unit; final energy = -34.71 eV per cell
1.0
-5.489 -0.136 3.008
-3.113 -5.400 0.581
3.376 -1.324 6.048
K Cl Al Co
1 6 1 1
direct
0.000 0.000 0.000
0.370 0.618 0.306
0.622 0.012 0.309
0.618 0.371 0.694
0.365 0.011 0.692
0.012 0.622 0.691
0.011 0.365 0.308
0.333 0.333 0.500
0.668 0.668 0.500

***

Question: Which formula does entry 4 have?
Answer: AlCo2Cl

***

Question: Which value of E_form (uncorrected) does entry 6 give?
Answer: -16.41 eV per formula unit

***

Question: The highest magnetization belongs to which entry?
Answer: number 2